Entry 1:
## Pr3Ge6Pd2Pt (PBE)

Data for a relaxed structure of Pr3Ge6Pd2Pt.

Computed properties:
Uncorrected energy: -5.35 eV per atom
SG: P-3m1
DFT formation energy: -46.26 kJ/mol of atoms

a = 5.989 Å, b = 5.989 Å, c = 8.361 Å
α = 90.00°, β = 90.00°, γ = 120.00°
Element x y z (fractional)
Pr  0.000  0.000  0.000
Pr  0.333  0.667  0.623
Pr  0.667  0.333  0.377
Ge  0.186  0.372  0.284
Ge  0.186  0.814  0.284
Ge  0.372  0.186  0.716
Ge  0.628  0.814  0.284
Ge  0.814  0.186  0.716
Ge  0.814  0.628  0.716
Pd  0.333  0.667  0.026
Pd  0.667  0.333  0.974
Pt  0.000  0.000  0.500

---

Entry 2:
## RbTlHg4Au2 (PBE)

Data for a relaxed structure of RbTlHg4Au2.

Computed properties:
Uncorrected energy: -1.44 eV per atom
SG: P4/mmm
DFT formation energy: -4.74 kJ/mol of atoms

a = 4.466 Å, b = 4.466 Å, c = 12.575 Å
α = 90.00°, β = 90.00°, γ = 90.00°
Element x y z (fractional)
Rb  0.000  0.000  0.000
Tl  0.000  0.000  0.500
Hg  0.000  0.500  0.235
Hg  0.000  0.500  0.765
Hg  0.500  0.000  0.235
Hg  0.500  0.000  0.765
Au  0.500  0.500  0.392
Au  0.500  0.500  0.608

---

Entry 3:
## TlFeCu2 (PBE)

Data for a relaxed structure of TlFeCu2.

Computed properties:
Uncorrected energy: -4.34 eV per atom
Distance to the lowest polymorph of the same formula: 50 meV/atom
SG: I4/mmm
DFT formation energy: 40.45 kJ/mol of atoms

a = 4.606 Å, b = 4.606 Å, c = 4.606 Å
α = 127.16°, β = 127.16°, γ = 78.00°
Element x y z (fractional)
Tl  0.000  0.000  0.000
Fe  0.500  0.500  0.000
Cu  0.250  0.750  0.500
Cu  0.750  0.250  0.500

---

Entry 4:
## Ta2CrOs (PBE)

Data for a relaxed structure of Ta2CrOs.

Computed properties:
Uncorrected energy: -11.19 eV per atom
Distance to the lowest polymorph of the same formula: 260 meV/atom
SG: F-43m
DFT formation energy: -4.85 kJ/mol of atoms

a = 4.442 Å, b = 4.442 Å, c = 4.442 Å
α = 60.00°, β = 60.00°, γ = 60.00°
Element x y z (fractional)
Ta  0.000  0.000  0.000
Ta  0.250  0.250  0.250
Cr  0.500  0.500  0.500
Os  0.750  0.750  0.750

---

Entry 5:
## NdNi12Ge4 (PBE)

Data for a relaxed structure of NdNi12Ge4.

Computed properties:
Uncorrected energy: -5.33 eV per atom
SG: Im-3
DFT formation energy: 11.52 kJ/mol of atoms

a = 6.884 Å, b = 6.884 Å, c = 6.884 Å
α = 109.47°, β = 109.47°, γ = 109.47°
Element x y z (fractional)
Nd  0.000  0.000  0.000
Ni  0.154  0.355  0.509
Ni  0.154  0.645  0.799
Ni  0.201  0.846  0.355
Ni  0.355  0.201  0.846
Ni  0.355  0.509  0.154
Ni  0.491  0.846  0.645
Ni  0.509  0.154  0.355
Ni  0.645  0.491  0.846
Ni  0.645  0.799  0.154
Ni  0.799  0.154  0.645
Ni  0.846  0.355  0.201
Ni  0.846  0.645  0.491
Ge  0.000  0.000  0.500
Ge  0.000  0.500  0.000
Ge  0.500  0.000  0.000
Ge  0.500  0.500  0.500

---

Entry 6:
## Ti4BiSb (PBE)

Data for a relaxed structure of Ti4BiSb.

Computed properties:
ΔE_f (raw): 0.6 eV/f.u.
Uncorrected energy: -6.50 eV per atom
Distance to the lowest polymorph of the same formula: 376 meV/atom
SG: Fddd

a = 7.881 Å, b = 7.878 Å, c = 6.458 Å
α = 65.83°, β = 65.79°, γ = 48.38°
Element x y z (fractional)
Ti  0.000  0.500  0.240
Ti  0.000  0.500  0.760
Ti  0.240  0.759  0.000
Ti  0.241  0.760  0.500
Ti  0.500  0.000  0.241
Ti  0.500  0.000  0.759
Ti  0.759  0.240  0.500
Ti  0.760  0.241  0.000
Bi  0.375  0.375  0.375
Bi  0.625  0.625  0.625
Sb  0.125  0.125  0.125
Sb  0.875  0.875  0.875

---

Entry 7:
## ReRh (PBE)

Data for a relaxed structure of ReRh.

Computed properties:
Uncorrected energy: -9.97 eV per atom
Distance to the lowest polymorph of the same formula: 111 meV/atom
SG: P2_1/m
DFT formation energy: -6.38 kJ/mol of atoms

a = 5.477 Å, b = 3.892 Å, c = 6.076 Å
α = 90.00°, β = 116.12°, γ = 90.00°
Element x y z (fractional)
Re  0.061  0.250  0.366
Re  0.185  0.750  0.121
Re  0.815  0.250  0.879
Re  0.939  0.750  0.634
Rh  0.307  0.250  0.866
Rh  0.432  0.750  0.617
Rh  0.568  0.250  0.383
Rh  0.693  0.750  0.134

---

Entry 8:
## HfBeCr2 (PBE)

Data for a relaxed structure of HfBeCr2.

Computed properties:
Uncorrected energy: -7.64 eV per atom
SG: I-42d
DFT formation energy: 56.88 kJ/mol of atoms

a = 5.365 Å, b = 5.365 Å, c = 5.365 Å
α = 101.64°, β = 101.64°, γ = 126.62°
Element x y z (fractional)
Hf  0.000  0.000  0.000
Hf  0.750  0.250  0.500
Be  0.250  0.750  0.500
Be  0.500  0.500  0.000
Cr  0.173  0.125  0.548
Cr  0.375  0.827  0.952
Cr  0.577  0.625  0.452
Cr  0.875  0.423  0.048

---

Entry 9:
## SrAl2Ag (PBE)

Data for a relaxed structure of SrAl2Ag.

Computed properties:
Uncorrected energy: -2.97 eV per atom
SG: P4/mmm
DFT formation energy: 3.69 kJ/mol of atoms

a = 4.406 Å, b = 4.406 Å, c = 4.837 Å
α = 90.00°, β = 90.00°, γ = 90.00°
Element x y z (fractional)
Sr  0.000  0.000  0.000
Al  0.000  0.500  0.500
Al  0.500  0.000  0.500
Ag  0.500  0.500  0.000

---

Entry 10:
## Ba2TaNi (PBE)

Data for a relaxed structure of Ba2TaNi.

Computed properties:
Uncorrected energy: -4.94 eV per atom
Distance to the lowest polymorph of the same formula: 0 meV/atom
SG: Pm
DFT formation energy: 41.35 kJ/mol of atoms

a = 3.446 Å, b = 3.496 Å, c = 10.158 Å
α = 90.00°, β = 99.35°, γ = 90.00°
Element x y z (fractional)
Ba  0.000  0.000  0.000
Ba  0.211  0.500  0.395
Ta  0.364  0.500  0.720
Ni  0.829  0.000  0.648

---

Entry 11:
## Cs2In3 (PBE)

Data for a relaxed structure of Cs2In3.

Computed properties:
Uncorrected energy: -2.02 eV per atom
SG: Fdd2
DFT formation energy: -3.05 kJ/mol of atoms

a = 10.550 Å, b = 7.003 Å, c = 11.401 Å
α = 64.91°, β = 36.95°, γ = 78.14°
Element x y z (fractional)
Cs  0.110  0.890  0.296
Cs  0.546  0.954  0.360
Cs  0.890  0.110  0.704
Cs  0.954  0.546  0.140
In  0.278  0.278  0.722
In  0.442  0.518  0.304
In  0.514  0.946  0.732
In  0.518  0.442  0.736
In  0.528  0.528  0.972
In  0.946  0.514  0.808

---

Entry 12:
## Hf2AsSe2 (PBE)

Data for a relaxed structure of Hf2AsSe2.

Computed properties:
ΔE_f (raw): -4.4 eV/f.u.
Uncorrected energy: -7.19 eV per atom
SG: P4/mbm

a = 7.408 Å, b = 7.408 Å, c = 3.575 Å
α = 90.00°, β = 90.00°, γ = 90.00°
Element x y z (fractional)
Hf  0.154  0.346  0.000
Hf  0.346  0.846  0.000
Hf  0.654  0.154  0.000
Hf  0.846  0.654  0.000
As  0.000  0.000  0.000
As  0.500  0.500  0.000
Se  0.139  0.639  0.500
Se  0.361  0.139  0.500
Se  0.639  0.861  0.500
Se  0.861  0.361  0.500

---

Entry 13:
## CrNiHgP2 (PBE)

Data for a relaxed structure of CrNiHgP2.

Computed properties:
Uncorrected energy: -4.75 eV per atom
SG: P4/mmm
DFT formation energy: 53.69 kJ/mol of atoms

a = 4.342 Å, b = 4.342 Å, c = 4.745 Å
α = 90.00°, β = 90.00°, γ = 90.00°
Element x y z (fractional)
Cr  0.000  0.000  0.000
Ni  0.000  0.000  0.500
Hg  0.500  0.500  0.500
P  0.000  0.500  0.000
P  0.500  0.000  0.000

---

Entry 14:
## AcY6HoEr2 (PBE)

Data for a relaxed structure of AcY6HoEr2.

Computed properties:
Uncorrected energy: -5.53 eV per atom
SG: C2/c
DFT formation energy: 12.38 kJ/mol of atoms

a = 8.921 Å, b = 8.921 Å, c = 9.513 Å
α = 92.55°, β = 92.55°, γ = 117.21°
Element x y z (fractional)
Ac  0.031  0.969  0.750
Ac  0.969  0.031  0.250
Y  0.009  0.554  0.681
Y  0.127  0.755  0.057
Y  0.245  0.873  0.443
Y  0.288  0.512  0.887
Y  0.446  0.991  0.819
Y  0.488  0.712  0.613
Y  0.512  0.288  0.387
Y  0.554  0.009  0.181
Y  0.712  0.488  0.113
Y  0.755  0.127  0.557
Y  0.873  0.245  0.943
Y  0.991  0.446  0.319
Ho  0.414  0.586  0.250
Ho  0.586  0.414  0.750
Er  0.203  0.315  0.552
Er  0.315  0.203  0.052
Er  0.685  0.797  0.948
Er  0.797  0.685  0.448

---

Entry 15:
## CsN2ClO (PBE)

Data for a relaxed structure of CsN2ClO.

Computed properties:
ΔE_f (raw): 10.7 eV/f.u.
Uncorrected energy: -2.73 eV per atom
SG: P4/mmm

a = 5.870 Å, b = 5.870 Å, c = 4.630 Å
α = 90.00°, β = 90.00°, γ = 90.00°
Element x y z (fractional)
Cs  0.000  0.000  0.000
N  0.000  0.500  0.000
N  0.500  0.000  0.000
Cl  0.500  0.500  0.500
O  0.000  0.000  0.500

---

Entry 16:
## PmCdRe (PBE)

Data for a relaxed structure of PmCdRe.

Computed properties:
Uncorrected energy: -5.62 eV per atom
SG: P-1
DFT formation energy: 39.93 kJ/mol of atoms

a = 2.967 Å, b = 5.912 Å, c = 7.634 Å
α = 89.94°, β = 79.08°, γ = 89.82°
Element x y z (fractional)
Pm  0.196  0.250  0.122
Pm  0.804  0.750  0.878
Cd  0.500  0.000  0.500
Cd  0.500  0.500  0.500
Re  0.129  0.750  0.234
Re  0.871  0.250  0.766

---

Entry 17:
## Sr2BiPd3Au12 (PBE)

Data for a relaxed structure of Sr2BiPd3Au12.

Computed properties:
Uncorrected energy: -3.50 eV per atom
SG: R-3m
DFT formation energy: -4.20 kJ/mol of atoms

a = 10.407 Å, b = 10.407 Å, c = 10.407 Å
α = 40.18°, β = 40.18°, γ = 40.18°
Element x y z (fractional)
Sr  0.142  0.142  0.142
Sr  0.858  0.858  0.858
Bi  0.500  0.500  0.500
Pd  0.000  0.500  0.500
Pd  0.500  0.000  0.500
Pd  0.500  0.500  0.000
Au  0.073  0.616  0.616
Au  0.083  0.083  0.698
Au  0.083  0.698  0.083
Au  0.302  0.917  0.917
Au  0.384  0.384  0.927
Au  0.384  0.927  0.384
Au  0.616  0.073  0.616
Au  0.616  0.616  0.073
Au  0.698  0.083  0.083
Au  0.917  0.302  0.917
Au  0.917  0.917  0.302
Au  0.927  0.384  0.384

---

Entry 18:
## ZrTaCl2 (PBE)

Data for a relaxed structure of ZrTaCl2.

Computed properties:
ΔE_f (raw): -2.8 eV/f.u.
Uncorrected energy: -6.72 eV per atom
Distance to the lowest polymorph of the same formula: 180 meV/atom
SG: P4mm

a = 3.065 Å, b = 3.065 Å, c = 9.353 Å
α = 90.00°, β = 90.00°, γ = 90.00°
Element x y z (fractional)
Zr  0.000  0.000  0.000
Ta  0.500  0.500  0.752
Cl  0.000  0.000  0.579
Cl  0.500  0.500  0.182

---

Entry 19:
## Pm4Bi2SbP (PBE)

Data for a relaxed structure of Pm4Bi2SbP.

Computed properties:
ΔE_f (raw): -8.9 eV/f.u.
Uncorrected energy: -5.65 eV per atom
SG: P2/m

a = 7.695 Å, b = 4.417 Å, c = 7.740 Å
α = 90.00°, β = 109.13°, γ = 90.00°
Element x y z (fractional)
Pm  0.232  0.000  0.228
Pm  0.243  0.500  0.765
Pm  0.757  0.500  0.235
Pm  0.768  0.000  0.772
Bi  0.000  0.000  0.500
Bi  0.500  0.500  0.500
Sb  0.500  0.000  0.000
P  0.000  0.500  0.000

---

Entry 20:
## NaGa2P2O9 (PBE)

Data for a relaxed structure of NaGa2P2O9.

Computed properties:
ΔE_f (raw): -27.7 eV/f.u.
Uncorrected energy: -6.46 eV per atom
SG: P2_1/c

a = 9.182 Å, b = 9.229 Å, c = 10.009 Å
α = 90.00°, β = 121.18°, γ = 90.00°
Element x y z (fractional)
Na  0.233  0.119  0.470
Na  0.233  0.381  0.970
Na  0.767  0.619  0.030
Na  0.767  0.881  0.530
Ga  0.162  0.720  0.420
Ga  0.162  0.780  0.920
Ga  0.493  0.071  0.137
Ga  0.493  0.429  0.637
Ga  0.507  0.571  0.363
Ga  0.507  0.929  0.863
Ga  0.838  0.220  0.080
Ga  0.838  0.280  0.580
P  0.159  0.054  0.758
P  0.159  0.446  0.258
P  0.333  0.625  0.767
P  0.333  0.875  0.267
P  0.667  0.125  0.733
P  0.667  0.375  0.233
P  0.841  0.554  0.742
P  0.841  0.946  0.242
O  0.042  0.169  0.642
O  0.042  0.331  0.142
O  0.053  0.579  0.259
O  0.053  0.921  0.759
O  0.180  0.680  0.610
O  0.180  0.820  0.110
O  0.258  0.122  0.925
O  0.258  0.378  0.425
O  0.272  0.622  0.886
O  0.272  0.878  0.386
O  0.284  0.006  0.705
O  0.284  0.494  0.205
O  0.387  0.031  0.257
O  0.387  0.469  0.757
O  0.394  0.599  0.497
O  0.394  0.901  0.997
O  0.490  0.726  0.825
O  0.490  0.774  0.325
O  0.510  0.226  0.675
O  0.510  0.274  0.175
O  0.606  0.099  0.003
O  0.606  0.401  0.503
O  0.613  0.531  0.243
O  0.613  0.969  0.743
O  0.716  0.506  0.795
O  0.716  0.994  0.295
O  0.728  0.122  0.614
O  0.728  0.378  0.114
O  0.742  0.622  0.575
O  0.742  0.878  0.075
O  0.820  0.180  0.890
O  0.820  0.320  0.390
O  0.947  0.079  0.241
O  0.947  0.421  0.741
O  0.958  0.669  0.858
O  0.958  0.831  0.358